# Rb3HfNb SCAN single point on PBEsol structure
# - D(E_F) (states/eV per cell) = 11.0
# - total magnetization (μB/cell) = 9.22
# - crystal system = cubic
# - calculated volume (Å³/atom) = 58.9
# - E (eV per formula unit) = -147.78
data_Rb3HfNb
_chemical_formula_sum 'Rb3 Hf1 Nb1'
_space_group_name_H-M_alt 'P m -3 m'
_space_group_IT_number 221
_space_group_name_Hall '-P 4 2 3'
_cell_length_a 6.654
_cell_length_b 6.654
_cell_length_c 6.654
_cell_angle_alpha 90.00
_cell_angle_beta 90.00
_cell_angle_gamma 90.00
loop_
_atom_site_label
_atom_site_fract_x
_atom_site_fract_y
_atom_site_fract_z
Rb1 0.000 0.000 0.500
Hf1 0.500 0.500 0.500
Nb1 0.000 0.000 0.000